Entry 1:
VASP calculation (PBE) on a relaxed structure of VCd2Fe.

Summary:
Volume   272.4 Å³/cell
Polymorph energy (0 for the lowest one)   0 meV per atom
Formation enthalpy at 0 K   0.5403 eV per atom
Spin magnetization   17.6 Bohr magnetons per cell

abc: 6.482 6.482 6.482
angles: 90.00 90.00 90.00
Space group Fm-3m (No. 225)
Inequivalent atoms, fractional coordinates:
V: 0.000 0.000 0.000 x4
Cd: 0.250 0.250 0.250 x8
Fe: 0.000 0.000 0.500 x4



Entry 2:
VASP calculation (PBE) on a relaxed structure of Fe4Tc3.

Summary:
Volume   95.9 Å³/cell
Polymorph energy (0 for the lowest one)   258 meV per atom
Formation enthalpy at 0 K   0.3319 eV per atom
Spin magnetization   7.4 Bohr magnetons per cell

abc: 4.9258 4.9258 4.5652
angles: 90.00 90.00 120.00
Space group P6/mmm (No. 191)
Inequivalent atoms, fractional coordinates:
Fe: 0.0000 0.0000 0.2361 x2
Fe: 0.3333 0.6667 0.0000 x2
Tc: 0.0000 0.5000 0.5000 x3



Entry 3:
VASP calculation (PBE) on a relaxed structure of ScI2Br.

Summary:
ΔE_f (raw)   -1.14 eV per atom
Volume   608.0 Å³/cell
Polymorph energy (0 for the lowest one)   196 meV per atom
Spin magnetization   0.0 Bohr magnetons per cell

abc: 10.657 10.657 5.354
angles: 90.00 90.00 90.00
Space group I-42d (No. 122)
Inequivalent atoms, fractional coordinates:
Sc: 0.000 0.000 0.000 x4
I: 0.101 0.250 0.125 x8
Br: 0.000 0.000 0.500 x4



Entry 4:
VASP calculation (PBE) on a relaxed structure of Li3Y3SnS8.

Summary:
ΔE_f (raw)   -1.54 eV per atom
Volume   974.3 Å³/cell
Spin magnetization   0.0 Bohr magnetons per cell

abc: 7.7905 7.7905 18.5373
angles: 90.00 90.00 120.00
Space group R-3m (No. 166, hexagonal axes)
Inequivalent atoms, fractional coordinates:
Li: 0.0000 0.5000 0.0000 x9
Y: 0.0000 0.5000 0.5000 x9
Sn: 0.0000 0.0000 0.5000 x3
S: 0.0000 0.0000 0.2493 x6
S: 0.0185 0.5093 0.2481 x18



Entry 5:
VASP calculation (PBE) on a relaxed structure of Ca2SiIr.

Summary:
ΔE_f (raw)   -0.21 eV per atom
Volume   152.7 Å³/cell
Spin magnetization   0.0 Bohr magnetons per cell

abc: 4.767 4.767 6.721
angles: 90.00 90.00 90.00
Space group I-4m2 (No. 119)
Inequivalent atoms, fractional coordinates:
Ca: 0.000 0.000 0.000 x2
Ca: 0.000 0.500 0.250 x2
Si: 0.000 0.000 0.500 x2
Ir: 0.000 0.500 0.750 x2



Entry 6:
VASP calculation (PBE) on a relaxed structure of NbVSn.

Summary:
Volume   218.3 Å³/cell
Formation enthalpy at 0 K   0.0440 eV per atom
Spin magnetization   0.0 Bohr magnetons per cell

abc: 4.388 9.217 5.398
angles: 90.00 90.00 90.00
Space group Cmcm (No. 63)
Inequivalent atoms, fractional coordinates:
Nb: 0.000 0.208 0.250 x4
V: 0.000 0.500 0.000 x4
Sn: 0.000 0.105 0.750 x4



Entry 7:
VASP calculation (PBE) on a relaxed structure of TlAgPb.

Summary:
Volume   158.2 Å³/cell
Formation enthalpy at 0 K   0.0770 eV per atom
Spin magnetization   0.0 Bohr magnetons per cell

abc: 3.390 5.980 8.494
angles: 73.33 78.72 75.36
Space group P1 (No. 1)
Inequivalent atoms, fractional coordinates:
Tl: 0.000 0.000 0.000 x1
Tl: 0.359 0.545 0.792 x1
Ag: 0.040 0.438 0.500 x1
Ag: 0.633 0.049 0.676 x1
Pb: 0.325 0.930 0.394 x1
Pb: 0.686 0.466 0.181 x1



Entry 8:
VASP calculation (PBE) on a relaxed structure of KFeBr.

Summary:
ΔE_f (raw)   0.22 eV per atom
Volume   82.0 Å³/cell
Polymorph energy (0 for the lowest one)   0 meV per atom
Spin magnetization   2.2 Bohr magnetons per cell

abc: 4.1979 4.1979 5.3739
angles: 90.00 90.00 120.00
Space group P3m1 (No. 156)
Inequivalent atoms, fractional coordinates:
K: 0.0000 0.0000 0.0000 x1
Fe: 0.3333 0.6667 0.4981 x1
Br: 0.6667 0.3333 0.5231 x1



Question: Which value of volume does entry 1 give?
Answer: 272.4 Å³/cell